Record 1
TlZnPd14 | Alexandria via LeMat-Bulk | PBE-GGA | relaxed; space group = Amm2; calculated volume = 15.70 Å³/atom; E_form = -0.09 eV per atom
1.0
9.1758 0.0000 0.0000
0.0000 2.8555 4.7927
0.0000 -2.8555 4.7927
Tl Zn Pd
1 1 14
Cartesian
0.0000 0.0000 0.0000
0.0000 0.0000 4.7860
0.0000 -1.4183 7.1913
0.0000 1.4183 7.1913
2.2770 0.0000 3.1301
2.2851 -1.4027 5.5201
2.2851 1.4027 5.5201
2.3321 0.0000 7.9146
4.5879 0.0000 1.4773
4.5879 -1.4176 3.8763
4.5879 1.4176 3.8763
4.5879 0.0000 6.2744
6.8438 0.0000 7.9146
6.8907 -1.4027 5.5201
6.8907 1.4027 5.5201
6.8988 0.0000 3.1301

Record 2
Zr2TlZnPd | Alexandria via LeMat-Bulk | PBE-GGA | relaxed; space group = P4/mmm; calculated volume = 26.23 Å³/atom; E_form = 0.50 eV per atom
1.0
5.0837 0.0000 0.0000
0.0000 5.0837 0.0000
0.0000 0.0000 5.0742
Zr Tl Zn Pd
2 1 1 1
Cartesian
0.0000 2.5418 0.0000
2.5418 0.0000 0.0000
0.0000 0.0000 2.5371
2.5418 2.5418 2.5371
0.0000 0.0000 0.0000

Record 3
ZrTlZn2Pd | Alexandria via LeMat-Bulk | PBE-GGA | relaxed; space group = P4/mmm; calculated volume = 23.28 Å³/atom; E_form = 0.10 eV per atom
1.0
4.7893 0.0000 0.0000
0.0000 4.7893 0.0000
0.0000 0.0000 5.0756
Zr Tl Zn Pd
1 1 2 1
Cartesian
0.0000 0.0000 0.0000
2.3947 2.3947 0.0000
0.0000 2.3947 2.5378
2.3947 0.0000 2.5378
0.0000 0.0000 2.5378

Record 4
Zr2TlPd | Alexandria via LeMat-Bulk | PBE-GGA | relaxed; space group = R3m; calculated volume = 24.09 Å³/atom; E_form = -0.02 eV per atom
1.0
4.0277 0.0000 0.0000
-2.0138 3.4881 0.0000
0.0000 0.0000 20.5738
Zr Tl Pd
6 3 3
Cartesian
0.0000 0.0000 0.0000
0.0000 0.0000 4.1231
0.0000 2.3254 13.7159
0.0000 2.3254 17.8390
2.0138 1.1627 6.8579
2.0138 1.1627 10.9810
0.0000 0.0000 8.9060
0.0000 2.3254 2.0481
2.0138 1.1627 15.7640
0.0000 0.0000 12.2509
0.0000 2.3254 5.3930
2.0138 1.1627 19.1089

Record 5
ZrTl4Pd15 | Alexandria via LeMat-Bulk | PBE-GGA | relaxed; space group = P4/mmm; calculated volume = 16.94 Å³/atom; E_form = -0.33 eV per atom
1.0
4.0620 0.0000 0.0000
0.0000 4.0620 0.0000
0.0000 0.0000 20.5369
Zr Tl Pd
1 4 15
Cartesian
0.0000 0.0000 0.0000
0.0000 0.0000 4.1050
0.0000 0.0000 8.2007
0.0000 0.0000 12.3362
0.0000 0.0000 16.4319
0.0000 2.0310 1.9666
0.0000 2.0310 6.1323
0.0000 2.0310 10.2685
0.0000 2.0310 14.4046
0.0000 2.0310 18.5703
2.0310 0.0000 1.9666
2.0310 0.0000 6.1323
2.0310 0.0000 10.2685
2.0310 0.0000 14.4046
2.0310 0.0000 18.5703
2.0310 2.0310 0.0000
2.0310 2.0310 4.0308
2.0310 2.0310 8.2006
2.0310 2.0310 12.3364
2.0310 2.0310 16.5061

Record 6
Zr2TlPd | Alexandria via LeMat-Bulk | PBE-GGA | relaxed; space group = P4/mmm; calculated volume = 20.80 Å³/atom; E_form = -0.32 eV per atom
1.0
3.1927 0.0000 0.0000
0.0000 3.1927 0.0000
0.0000 0.0000 8.1623
Zr Tl Pd
2 1 1
Cartesian
0.0000 0.0000 1.8369
0.0000 0.0000 6.3253
1.5963 1.5963 4.0811
1.5963 1.5963 0.0000